Record 1
The following is a GGA-PBE calculation of an optimized crystal structure of ZrTe2Cl, from Alexandria via LeMat-Bulk.

It has space group P4/mmm (No. 123), with a = 5.146 Å, b = 5.146 Å, c = 3.723 Å, α = 90.00°, β = 90.00° and γ = 90.00°. The asymmetric unit holds Zr at (0.000, 0.000, 0.000), Te at (0.000, 0.500, 0.500) and Cl at (0.500, 0.500, 0.000).

The value obtained for the distance to the lowest polymorph of the same formula is 754 meV/atom. The uncorrected formation energy comes out at -0.36 eV per formula unit. The volume comes out at 24.65 A^3/atom.

Record 2
The following is a GGA-PBE calculation of an optimized crystal structure of CaMoRu2, from Alexandria via LeMat-Bulk.

It has space group P4mm (No. 99), with a = 2.780 Å, b = 2.780 Å, c = 8.920 Å, α = 90.00°, β = 90.00° and γ = 90.00°. The asymmetric unit holds Ca at (0.000, 0.000, 0.000), Mo at (0.500, 0.500, 0.302), Ru at (0.000, 0.000, 0.541) and Ru at (0.500, 0.500, 0.728).

The value obtained for the distance to the lowest polymorph of the same formula is 303 meV/atom. As for the formation energy: 0.451 eV per atom. The volume comes out at 17.23 A^3/atom.

Record 3
The following is a GGA-PBE calculation of an optimized crystal structure of CePm2Sn, from Alexandria via LeMat-Bulk.

It has space group P4/mmm (No. 123), with a = 4.115 Å, b = 4.115 Å, c = 7.053 Å, α = 90.00°, β = 90.00° and γ = 90.00°. The asymmetric unit holds Ce at (0.000, 0.000, 0.000), Pm at (0.500, 0.500, 0.273) and Sn at (0.000, 0.000, 0.500).

The value obtained for the distance to the lowest polymorph of the same formula is 110 meV/atom. As for the formation energy: -0.299 eV per atom. The volume comes out at 29.85 A^3/atom.

Record 4
The following is a GGA-PBE calculation of an optimized crystal structure of Mg15Cd2In2, from Alexandria via LeMat-Bulk.

It has space group R-3m (No. 166, hexagonal axes), with a = 10.1249 Å, b = 10.1249 Å, c = 15.8733 Å, α = 90.00°, β = 90.00° and γ = 120.00°. The asymmetric unit holds Mg at (0.0000, 0.3250, 0.0000), Mg at (0.9995, 0.4998, 0.1624), Mg at (0.0000, 0.5000, 0.5000), Cd at (0.0000, 0.0000, 0.0926) and In at (0.0000, 0.0000, 0.2986).

As for the formation energy: 0.072 eV per atom. The volume comes out at 24.72 A^3/atom.